LiCrAgO4 PBE+U optimized geometry; space group = No. 11; Fermi-level density of states = 0.0000 states/eV/atom; total energy = -40.347 eV/f.u.; total moment = 0.00 μB per cell
1.0
5.8032 0.0000 -0.6960
0.0000 6.0993 0.0000
-3.1865 0.0000 6.1001
Li Cr Ag O
2 2 2 8
direct
0.7642 0.7500 0.6203
0.2358 0.2500 0.3797
0.2139 0.7500 0.3547
0.7861 0.2500 0.6453
0.4062 0.7500 0.9474
0.5938 0.2500 0.0526
0.9804 0.4749 0.7377
0.0196 0.9749 0.2623
0.0196 0.5251 0.2623
0.9804 0.0251 0.7377
0.4356 0.7500 0.2715
0.5644 0.2500 0.7285
0.4347 0.7500 0.6505
0.5653 0.2500 0.3495

LiCrAg2O4 PBE+U optimized geometry; space group = No. 5; Fermi-level density of states = 0.0021 states/eV/atom; total energy = -42.971 eV/f.u.; total moment = 1.00 μB per cell
1.0
-1.2043 4.4316 -1.7493
0.6487 -1.6782 -4.7213
-3.9739 -2.5934 3.0840
Li Cr Ag O
1 1 2 4
direct
0.9812 0.4813 0.9625
0.7385 0.7385 0.4769
0.4983 0.9982 0.9964
0.2179 0.2178 0.4358
0.6821 0.6307 0.7080
0.8565 0.4627 0.2432
0.3868 0.7805 0.2432
0.0259 0.0773 0.7080